(1)
A plane-wave DFT calculation with SCAN was carried out for a PBEsol-optimized structure of CsGaCu2Hg.

The structure in CIF format:
```
data_CsGaCu2Hg
_symmetry_space_group_name_H-M 'P 1'
_symmetry_Int_Tables_number 1
_symmetry_space_group_name_Hall 'P 1'
_cell_length_a 4.846
_cell_length_b 4.846
_cell_length_c 5.304
_cell_angle_alpha 90.00
_cell_angle_beta 90.00
_cell_angle_gamma 90.00
loop_
_atom_site_label
_atom_site_type_symbol
_atom_site_fract_x
_atom_site_fract_y
_atom_site_fract_z
Cs1 Cs 0.000 0.000 0.000
Ga1 Ga 0.500 0.500 0.500
Cu1 Cu 0.000 0.500 0.500
Cu2 Cu 0.500 0.000 0.500
Hg1 Hg 0.500 0.500 0.000
```

space-group type: P4/mmm, No. 123
energy of formation: 1.16 eV/f.u.

***

(2)
A plane-wave DFT calculation with SCAN was carried out for a PBEsol-optimized structure of CsCu2H.

The structure in CIF format:
```
data_CsCu2H
_symmetry_space_group_name_H-M 'P 1'
_symmetry_Int_Tables_number 1
_symmetry_space_group_name_Hall 'P 1'
_cell_length_a 4.779
_cell_length_b 4.779
_cell_length_c 4.779
_cell_angle_alpha 60.00
_cell_angle_beta 60.00
_cell_angle_gamma 60.00
loop_
_atom_site_label
_atom_site_type_symbol
_atom_site_fract_x
_atom_site_fract_y
_atom_site_fract_z
Cs1 Cs 0.000 0.000 0.000
Cu1 Cu 0.250 0.250 0.250
Cu2 Cu 0.750 0.750 0.750
H1 H 0.500 0.500 0.500
```

space-group type: Fm-3m, No. 225

***

(3)
A plane-wave DFT calculation with SCAN was carried out for a PBEsol-optimized structure of Cs2CuH.

The structure in CIF format:
```
data_Cs2CuH
_symmetry_space_group_name_H-M 'P 1'
_symmetry_Int_Tables_number 1
_symmetry_space_group_name_Hall 'P 1'
_cell_length_a 7.273
_cell_length_b 7.273
_cell_length_c 7.273
_cell_angle_alpha 110.05
_cell_angle_beta 110.05
_cell_angle_gamma 108.33
loop_
_atom_site_label
_atom_site_type_symbol
_atom_site_fract_x
_atom_site_fract_y
_atom_site_fract_z
Cs1 Cs 0.072 0.125 0.447
Cs2 Cs 0.375 0.928 0.053
Cs3 Cs 0.678 0.625 0.553
Cs4 Cs 0.875 0.322 0.947
Cu1 Cu 0.250 0.750 0.500
Cu2 Cu 0.500 0.500 0.000
H1 H 0.000 0.000 0.000
H2 H 0.750 0.250 0.500
```

space-group type: I-42d, No. 122

***

(4)
A plane-wave DFT calculation with SCAN was carried out for a PBEsol-optimized structure of CsTiCuH2.

The structure in CIF format:
```
data_CsTiCuH2
_symmetry_space_group_name_H-M 'P 1'
_symmetry_Int_Tables_number 1
_symmetry_space_group_name_Hall 'P 1'
_cell_length_a 4.012
_cell_length_b 4.012
_cell_length_c 6.250
_cell_angle_alpha 90.00
_cell_angle_beta 90.00
_cell_angle_gamma 90.00
loop_
_atom_site_label
_atom_site_type_symbol
_atom_site_fract_x
_atom_site_fract_y
_atom_site_fract_z
Cs1 Cs 0.000 0.000 0.000
Ti1 Ti 0.000 0.000 0.500
Cu1 Cu 0.500 0.500 0.000
H1 H 0.000 0.500 0.500
H2 H 0.500 0.000 0.500
```

space-group type: P4/mmm, No. 123

***

Number 1: E_tot -30.31 eV/atom. Number 2: E_tot -16.42 eV/atom. Number 3: E_tot -23.34 eV/atom. Number 4: E_tot -14.30 eV/atom.